# 1
PmScZnTc | PBE | relaxed

Properties
formation energy from the elements = -116 meV/atom
DOS at the Fermi energy = 2.59 states/eV/f.u.
uncorrected energy = -0.4260 Ry/atom

Lattice parameters (Å, degrees): 4.854 4.854 4.854 60.00 60.00 60.00
Positions (direct):
Sc 0.750 0.750 0.750
Tc 0.500 0.500 0.500
Zn 0.000 0.000 0.000
Pm 0.250 0.250 0.250


# 2
Ca3Cd3Pd2 | PBE | relaxed

Properties
formation energy from the elements = -512 meV/atom
DOS at the Fermi energy = 4.86 states/eV/f.u.
uncorrected energy = -0.2135 Ry/atom

Lattice parameters (Å, degrees): 5.879 7.998 17.005 90.00 90.00 90.00
Positions (direct):
Pd 0.884 0.120 0.117
Cd 0.903 0.824 0.031
Ca 0.607 0.033 0.890
Ca 0.644 0.336 0.250
Cd 0.403 0.676 0.969
Pd 0.616 0.620 0.117
Ca 0.393 0.967 0.110
Ca 0.107 0.467 0.110
Cd 0.643 0.322 0.750
Pd 0.616 0.620 0.383
Ca 0.107 0.467 0.390
Pd 0.384 0.380 0.617
Cd 0.597 0.324 0.031
Ca 0.893 0.533 0.890
Ca 0.893 0.533 0.610
Cd 0.403 0.676 0.531
Cd 0.597 0.324 0.469
Pd 0.884 0.120 0.383
Ca 0.393 0.967 0.390
Cd 0.857 0.822 0.750
Cd 0.357 0.678 0.250
Ca 0.144 0.164 0.750
Cd 0.097 0.176 0.969
Ca 0.356 0.664 0.750
Pd 0.116 0.880 0.883
Cd 0.143 0.178 0.250
Pd 0.116 0.880 0.617
Cd 0.097 0.176 0.531
Cd 0.903 0.824 0.469
Ca 0.856 0.836 0.250
Ca 0.607 0.033 0.610
Pd 0.384 0.380 0.883


# 3
Sb2Ir2Pb | PBE | relaxed

Properties
ΔE to the lowest computed polymorph = 0 meV per atom
DOS at the Fermi energy = 2.53 states/eV/f.u.
uncorrected energy = -0.4278 Ry/atom

Lattice parameters (Å, degrees): 4.759 4.759 6.075 66.94 66.94 90.00
Positions (direct):
Ir 0.368 0.368 0.264
Pb 0.000 0.000 0.000
Sb 0.250 0.750 0.500
Sb 0.750 0.250 0.500
Ir 0.632 0.632 0.736


# 4
Li2ErPuO4 | PBE | relaxed

Properties
DOS at the Fermi energy = 4.91 states/eV/f.u.
uncorrected energy = -0.5894 Ry/atom

Lattice parameters (Å, degrees): 4.452 4.452 6.289 110.72 110.72 90.01
Each line ends with the local moment (μB).
Positions (direct):
Li 0.250 0.750 0.500  0.01
O 0.712 0.712 0.424  -0.06
Pu 0.750 0.250 0.500  4.89
Er 0.500 0.500 0.000  0.05
O 0.526 0.026 0.052  -0.01
Li 0.000 0.000 0.000  0.01
O 0.974 0.474 0.948  -0.01
O 0.288 0.288 0.576  -0.06


# 5
K3ThTe3 | PBE | relaxed

Properties
DOS at the Fermi energy = 1.49 states/eV/f.u.
uncorrected energy = -0.2820 Ry/atom

Lattice parameters (Å, degrees): 9.089 9.089 8.896 95.62 95.62 114.21
Each line ends with the local moment (μB).
Positions (direct):
Te 0.102 0.102 0.776  0.00
Te 0.898 0.898 0.224  0.00
Te 0.472 0.151 0.284  0.00
K 0.737 0.263 0.000  0.00
Te 0.849 0.528 0.716  0.00
K 0.171 0.829 0.500  0.00
K 0.263 0.737 0.000  0.00
Te 0.528 0.849 0.716  0.00
Th 0.819 0.819 0.870  0.16
K 0.396 0.396 0.642  0.00
Te 0.151 0.472 0.284  0.00
Th 0.181 0.181 0.130  0.16
K 0.604 0.604 0.358  0.00
K 0.829 0.171 0.500  0.00


# 6
AcDyMgTl | PBE | relaxed

Properties
ΔE to the lowest computed polymorph = 0 meV per atom
formation energy from the elements = -204 meV/atom
DOS at the Fermi energy = 4.37 states/eV/f.u.
uncorrected energy = -0.2478 Ry/atom

Lattice parameters (Å, degrees): 3.963 3.963 7.903 90.00 90.00 90.00
Positions (direct):
Ac 0.500 0.500 0.111
Mg 0.000 0.000 0.390
Tl 0.000 0.000 0.821
Dy 0.500 0.500 0.606


> Which value of DOS at the Fermi energy does entry 4 give?

4.91 states/eV/f.u.


> Which of these has the lowest DOS at the Fermi energy?

K3ThTe3


> uncorrected energy of number 4 (Li2ErPuO4)?

-0.5894 Ry/atom


> Number 3 is which compound?

Sb2Ir2Pb